Below is a relaxed structure of Cs2WCl4O2, with properties calculated at the PBE with a Hubbard U level.

a = 7.181 Å, b = 7.483 Å, c = 7.483 Å
α = 56.25°, β = 60.60°, γ = 60.60°
Positions (direct):
Cl: 0.291 0.731 0.216
O: 0.716 0.836 0.836
W: 0.500 0.000 0.000
Cl: 0.709 0.784 0.269
O: 0.284 0.164 0.164
Cs: 0.210 0.751 0.751
Cl: 0.291 0.216 0.731
Cl: 0.709 0.269 0.784
Cs: 0.790 0.249 0.249

Values from the calculation:
* total magnetic moment: 0.1 μB/f.u.
* symmetry: C2/m (12)
* E: -0.16454 Ha/atom